1.
A plane-wave DFT calculation with PBE was carried out for a geometry-optimized BaTe2Au2 structure.

```
10
Lattice="8.5640 0.0000 0.0000 0.0000 8.5640 0.0000 0.0000 0.0000 3.8550" Properties=species:S:1:pos:R:3 pbc="T T T"
Ba 0.0000 0.0000 0.0000
Ba 4.2820 4.2820 0.0000
Te 1.2381 3.0438 0.0000
Te 3.0438 7.3258 0.0000
Te 5.5201 1.2381 0.0000
Te 7.3258 5.5201 0.0000
Au 1.3668 5.6488 1.9275
Au 2.9152 1.3668 1.9275
Au 5.6488 7.1972 1.9275
Au 7.1972 2.9152 1.9275
```

DOS at the Fermi energy = 2.8 states/eV/f.u.
size of the total moment = 0.00 μB per formula unit
formation energy without anion corrections = -301 meV per atom
energy = -16.27 eV/f.u.
energy above the most stable polymorph in this dataset = 297 meV/atom

2.
A plane-wave DFT calculation with PBE was carried out for a geometry-optimized Ba2TeAu structure.

```
4
Lattice="5.8035 0.0000 0.0000 0.0000 5.8035 0.0000 0.0000 0.0000 4.2742" Properties=species:S:1:pos:R:3 pbc="T T T"
Ba 0.0000 2.9018 0.0000
Ba 2.9018 0.0000 0.0000
Te 0.0000 0.0000 2.1371
Au 2.9018 2.9018 2.1371
```

DOS at the Fermi energy = 2.6 states/eV/f.u.
size of the total moment = 0.00 μB per formula unit
formation energy without anion corrections = -1115 meV per atom
energy = -14.73 eV/f.u.

3.
A plane-wave DFT calculation with PBE was carried out for a geometry-optimized BaTeAu2 structure.

```
4
Lattice="2.4317 1.4040 5.9084 -2.4317 1.4040 5.9084 0.0000 -2.8079 5.9084" Properties=species:S:1:pos:R:3 pbc="T T T"
Ba 0.0000 0.0000 0.0000
Te 0.0000 0.0000 14.1350
Au 0.0000 0.0000 4.2139
Au 0.0000 0.0000 8.4685
```

DOS at the Fermi energy = 0.2 states/eV/f.u.
size of the total moment = 0.00 μB per formula unit
formation energy without anion corrections = -619 meV per atom
energy = -14.09 eV/f.u.

4.
A plane-wave DFT calculation with PBE was carried out for a geometry-optimized BaThTe3Au structure.

```
12
Lattice="9.3461 0.0000 0.0000 0.0000 4.5111 0.0000 -4.4250 0.0000 9.3591" Properties=species:S:1:pos:R:3 pbc="T T T"
Ba -1.0819 1.1278 2.4768
Ba 6.0029 3.3834 6.8823
Th 1.3893 3.3834 6.7896
Th 3.5318 1.1278 2.5695
Te 1.6296 1.1278 0.1415
Te -0.7299 1.1278 6.0545
Te 1.4403 3.3834 3.4749
Te 3.4807 1.1278 5.8842
Te 5.6509 3.3834 3.3046
Te 3.2915 3.3834 9.2176
Au 3.7571 3.3834 0.1258
Au 1.1639 1.1278 9.2333
```

DOS at the Fermi energy = 0.5 states/eV/f.u.
size of the total moment = 0.00 μB per formula unit
formation energy without anion corrections = -1149 meV per atom
energy = -28.94 eV/f.u.

5.
A plane-wave DFT calculation with PBE was carried out for a geometry-optimized BaTmTe3Au structure.

```
12
Lattice="9.0595 0.0000 0.0000 0.0000 4.4711 0.0000 -2.7235 0.0000 9.8524" Properties=species:S:1:pos:R:3 pbc="T T T"
Ba 1.1208 1.1178 2.5702
Ba 5.2153 3.3533 7.2822
Tm 0.6119 3.3533 8.2622
Tm 5.7241 1.1178 1.5902
Te -1.4709 1.1178 8.5758
Te 0.8729 3.3533 5.2619
Te 3.6082 3.3533 1.4912
Te 2.7278 1.1178 8.3612
Te 5.4631 1.1178 4.5905
Te 7.8070 3.3533 1.2766
Au -0.8448 1.1178 5.8217
Au 7.1808 3.3533 4.0306
```

size of the total moment = 0.00 μB per formula unit
formation energy without anion corrections = -1205 meV per atom
energy = -26.33 eV/f.u.

6.
A plane-wave DFT calculation with PBE was carried out for a geometry-optimized BaUTe3Au structure.

```
12
Lattice="9.2551 0.0000 0.0000 0.0000 4.4643 0.0000 -4.4833 0.0000 9.2952" Properties=species:S:1:pos:R:3 pbc="T T T"
Ba -1.1017 1.1161 2.4542
Ba 5.8736 3.3483 6.8410
U 1.2966 3.3483 6.6228
U 3.4753 1.1161 2.6723
Te 1.7628 1.1161 0.1941
Te -0.7723 1.1161 6.0210
Te 1.4087 3.3483 3.4271
Te 3.3632 1.1161 5.8681
Te 5.5442 3.3483 3.2742
Te 3.0090 3.3483 9.1010
Au 3.7367 3.3483 0.1214
Au 1.0352 1.1161 9.1738
```

DOS at the Fermi energy = 6.0 states/eV/f.u.
size of the total moment = 2.23 μB per formula unit
formation energy without anion corrections = -848 meV per atom
energy = -31.00 eV/f.u.

7.
A plane-wave DFT calculation with PBE was carried out for a geometry-optimized Ba2UTe5Au structure.

```
18
Lattice="2.2769 -10.1289 0.0000 2.2769 10.1289 0.0000 0.0000 0.0000 13.9739" Properties=species:S:1:pos:R:3 pbc="T T T"
Ba 2.2769 7.8049 6.9870
Ba 2.2769 7.6801 12.1494
Ba 2.2769 -7.6801 5.1624
Ba 2.2769 -7.8049 0.0000
U 2.2769 6.1842 2.6273
U 2.2769 -6.1842 9.6142
Te 2.2769 9.1554 2.8888
Te 2.2769 4.1463 7.5439
Te 2.2769 4.0324 11.6632
Te 2.2769 3.1715 2.5757
Te 2.2769 0.0175 5.9886
Te 2.2769 -0.0175 12.9756
Te 2.2769 -3.1715 9.5627
Te 2.2769 -4.0324 4.6763
Te 2.2769 -4.1463 0.5569
Te 2.2769 -9.1554 9.8758
Au 2.2769 1.4419 8.3556
Au 2.2769 -1.4419 1.3686
```

DOS at the Fermi energy = 6.8 states/eV/f.u.
size of the total moment = 1.41 μB per formula unit
formation energy without anion corrections = -1033 meV per atom
energy = -43.42 eV/f.u.

8.
A plane-wave DFT calculation with PBE was carried out for a geometry-optimized Ba2UTe6Au2 structure.

```
11
Lattice="7.5686 -3.6816 0.0000 7.5686 3.6816 0.0000 -4.8881 0.0000 7.2652" Properties=species:S:1:pos:R:3 pbc="T T T"
Ba 2.5401 0.0000 1.8239
Ba 7.7090 0.0000 5.4413
U -2.4440 0.0000 3.6326
Te 3.1533 1.8042 4.8780
Te -0.6676 0.0000 6.0004
Te 7.0958 1.8042 2.3873
Te 3.1533 -1.8042 4.8780
Te 10.9167 0.0000 1.2649
Te 7.0958 -1.8042 2.3873
Au 6.1157 0.0000 0.5870
Au 4.1335 0.0000 6.6782
```

DOS at the Fermi energy = 6.3 states/eV/f.u.
size of the total moment = 1.27 μB per formula unit
formation energy without anion corrections = -743 meV per atom
energy = -48.71 eV/f.u.

9.
A plane-wave DFT calculation with PBE was carried out for a geometry-optimized BaU2Te5Au structure.

```
18
Lattice="-3.9424 3.9424 8.6218 3.9424 -3.9424 8.6218 3.9424 3.9424 -8.6218" Properties=species:S:1:pos:R:3 pbc="T T T"
Ba 0.0000 0.0000 4.3109
Ba 0.0000 0.0000 12.9327
U 4.8048 0.8624 0.0000
U 0.8624 3.0800 0.0000
U 3.0800 0.8624 8.6218
U -0.8624 3.0800 8.6218
Te 0.0000 0.0000 0.0000
Te 2.6283 1.3141 -2.1918
Te 2.6283 -1.3141 6.4300
Te 2.6283 1.3141 2.1918
Te 2.6283 -1.3141 10.8136
Te 0.0000 0.0000 8.6218
Te 1.3141 5.2565 -2.1918
Te 1.3141 2.6283 6.4300
Te 1.3141 5.2565 2.1918
Te 1.3141 2.6283 10.8136
Au 3.9424 0.0000 4.3109
Au 0.0000 3.9424 4.3109
```

DOS at the Fermi energy = 5.6 states/eV/f.u.
size of the total moment = 0.00 μB per formula unit
formation energy without anion corrections = -709 meV per atom
energy = -49.86 eV/f.u.

10.
A plane-wave DFT calculation with PBE was carried out for a geometry-optimized BaUTe4Au structure.

```
14
Lattice="7.8548 0.0000 0.0000 0.0000 6.3869 0.0000 -3.3275 0.0000 9.0973" Properties=species:S:1:pos:R:3 pbc="T T T"
Ba 1.6092 1.5967 0.5746
Ba 2.9181 4.7902 8.5227
U 0.3462 1.5967 5.1109
U 4.1810 4.7902 3.9864
Te -2.1004 3.2570 6.4866
Te -2.1004 6.3234 6.4866
Te 1.3806 4.7902 5.4188
Te 3.1271 4.7902 1.0524
Te 1.4001 1.5967 8.0449
Te 3.1467 1.5967 3.6785
Te 6.6277 0.0635 2.6107
Te 6.6277 3.1299 2.6107
Au 1.0295 4.7902 2.6708
Au 3.4978 1.5967 6.4265
```

DOS at the Fermi energy = 6.4 states/eV/f.u.
size of the total moment = 2.20 μB per formula unit
formation energy without anion corrections = -768 meV per atom
energy = -34.43 eV/f.u.

11.
A plane-wave DFT calculation with PBE was carried out for a geometry-optimized BaThAu structure.

```
6
Lattice="13.4622 0.0000 0.0000 0.0000 2.7624 2.7626 0.0000 -2.7624 2.7626" Properties=species:S:1:pos:R:3 pbc="T T T"
Ba 2.0125 0.0000 0.0000
Ba 11.4497 0.0000 0.0000
Th 5.1504 0.0000 2.7678
Th 8.3118 0.0000 2.7678
Au 0.0000 0.0000 2.7618
Au 6.7311 0.0000 0.0069
```

DOS at the Fermi energy = 3.8 states/eV/f.u.
size of the total moment = 0.00 μB per formula unit
energy = -13.35 eV/f.u.

12.
A plane-wave DFT calculation with PBE was carried out for a geometry-optimized BaThAu3 structure.

```
10
Lattice="2.0216 -14.5659 0.0000 2.0216 14.5659 0.0000 0.0000 0.0000 4.7668" Properties=species:S:1:pos:R:3 pbc="T T T"
Ba 2.0216 12.4203 3.5751
Ba 2.0216 -12.4203 1.1917
Th 2.0216 8.6328 1.1917
Th 2.0216 -8.6328 3.5751
Au 2.0216 5.5939 1.1917
Au 2.0216 3.6458 3.5751
Au 2.0216 0.7794 3.5751
Au 2.0216 -0.7794 1.1917
Au 2.0216 -3.6458 1.1917
Au 2.0216 -5.5939 3.5751
```

DOS at the Fermi energy = 3.7 states/eV/f.u.
size of the total moment = 0.00 μB per formula unit
energy = -22.58 eV/f.u.

13.
A plane-wave DFT calculation with PBE was carried out for a geometry-optimized BaTh2Au6 structure.

```
9
Lattice="-2.0195 3.9339 7.3972 2.0195 -3.9339 7.3972 2.0195 3.9339 -7.3972" Properties=species:S:1:pos:R:3 pbc="T T T"
Ba 0.0000 0.0000 0.0000
Th 2.0195 0.0000 5.3001
Th 0.0000 3.9339 2.0971
Au 2.0195 1.6050 -2.6636
Au 2.0195 2.5436 0.0000
Au 2.0195 1.6050 2.6636
Au 0.0000 2.3289 4.7336
Au 0.0000 1.3903 7.3972
Au 0.0000 2.3289 10.0607
```

DOS at the Fermi energy = 5.5 states/eV/f.u.
size of the total moment = 0.00 μB per formula unit
energy = -42.04 eV/f.u.

14.
A plane-wave DFT calculation with PBE was carried out for a geometry-optimized Ba2TiAu structure.

```
8
Lattice="-4.5717 4.5717 3.3644 4.5717 -4.5717 3.3644 4.5717 4.5717 -3.3644" Properties=species:S:1:pos:R:3 pbc="T T T"
Ba 6.8575 1.9765 -0.8411
Ba 1.9765 2.2858 0.8411
Ba -2.2858 2.5951 2.5233
Ba 2.5951 2.2858 4.2055
Ti 4.5717 0.0000 1.6822
Ti 0.0000 0.0000 3.3644
Au 0.0000 0.0000 0.0000
Au 0.0000 4.5717 1.6822
```

DOS at the Fermi energy = 8.5 states/eV/f.u.
size of the total moment = 0.58 μB per formula unit
energy = -13.10 eV/f.u.
energy above the most stable polymorph in this dataset = 80 meV/atom

15.
A plane-wave DFT calculation with PBE was carried out for a geometry-optimized BaTi2Au structure.

```
8
Lattice="-2.3292 2.3292 10.4631 2.3292 -2.3292 10.4631 2.3292 2.3292 -10.4631" Properties=species:S:1:pos:R:3 pbc="T T T"
Ba 0.0000 0.0000 0.0000
Ba 0.0000 2.3292 5.2315
Ti 1.1646 2.1671 -2.6158
Ti 2.4914 1.1646 2.6158
Ti 1.1646 0.1621 7.8473
Ti -0.1621 1.1646 13.0789
Au 2.3292 0.0000 5.2315
Au 0.0000 0.0000 10.4631
```

DOS at the Fermi energy = 9.6 states/eV/f.u.
size of the total moment = 0.00 μB per formula unit
energy = -19.23 eV/f.u.
energy above the most stable polymorph in this dataset = 0 meV/atom

16.
A plane-wave DFT calculation with PBE was carried out for a geometry-optimized Ba2TiAu structure.

```
4
Lattice="0.0000 4.0618 4.0618 4.0618 0.0000 4.0618 4.0618 4.0618 0.0000" Properties=species:S:1:pos:R:3 pbc="T T T"
Ba 2.0309 2.0309 2.0309
Ba 6.0927 6.0927 6.0927
Ti 0.0000 0.0000 0.0000
Au 4.0618 4.0618 4.0618
```

DOS at the Fermi energy = 5.8 states/eV/f.u.
size of the total moment = 0.13 μB per formula unit
energy = -13.42 eV/f.u.
energy above the most stable polymorph in this dataset = 0 meV/atom

17.
A plane-wave DFT calculation with PBE was carried out for a geometry-optimized BaTi2Au2 structure.

```
5
Lattice="-2.1511 2.1511 6.7049 2.1511 -2.1511 6.7049 2.1511 2.1511 -6.7049" Properties=species:S:1:pos:R:3 pbc="T T T"
Ba 0.0000 0.0000 0.0000
Ti 2.1511 0.0000 3.3524
Ti 0.0000 2.1511 3.3524
Au 0.0000 0.0000 5.0949
Au 0.0000 0.0000 8.3149
```

DOS at the Fermi energy = 5.5 states/eV/f.u.
size of the total moment = 3.72 μB per formula unit
energy = -25.20 eV/f.u.
energy above the most stable polymorph in this dataset = 0 meV/atom

18.
A plane-wave DFT calculation with PBE was carried out for a geometry-optimized BaTi2Au2 structure.

```
10
Lattice="8.5069 0.0000 0.0000 0.0000 8.5069 0.0000 0.0000 0.0000 3.1625" Properties=species:S:1:pos:R:3 pbc="T T T"
Ba 0.0000 0.0000 0.0000
Ba 4.2534 4.2534 0.0000
Ti 0.9652 3.2883 1.5812
Ti 3.2883 7.5417 1.5812
Ti 5.2186 0.9652 1.5812
Ti 7.5417 5.2186 1.5812
Au 1.4205 5.6740 0.0000
Au 2.8329 1.4205 0.0000
Au 5.6740 7.0864 0.0000
Au 7.0864 2.8329 0.0000
```

DOS at the Fermi energy = 6.9 states/eV/f.u.
size of the total moment = 3.42 μB per formula unit
energy = -24.16 eV/f.u.
energy above the most stable polymorph in this dataset = 209 meV/atom

19.
A plane-wave DFT calculation with PBE was carried out for a geometry-optimized BaTiAu2 structure.

```
8
Lattice="-2.7071 2.7071 8.8353 2.7071 -2.7071 8.8353 2.7071 2.7071 -8.8353" Properties=species:S:1:pos:R:3 pbc="T T T"
Ba 0.0000 0.0000 0.0000
Ba 0.0000 2.7071 4.4177
Ti 2.7071 0.0000 4.4177
Ti 0.0000 0.0000 8.8353
Au 1.3536 -0.0333 6.6265
Au 2.6739 1.3536 2.2088
Au 1.3536 2.7404 -2.2088
Au 0.0333 1.3536 11.0441
```

DOS at the Fermi energy = 5.1 states/eV/f.u.
size of the total moment = 1.31 μB per formula unit
energy = -16.51 eV/f.u.
energy above the most stable polymorph in this dataset = 0 meV/atom

20.
A plane-wave DFT calculation with PBE was carried out for a geometry-optimized BaTi2Au2 structure.

```
10
Lattice="8.3211 0.0000 0.0000 0.0000 8.3211 0.0000 0.0000 0.0000 3.1470" Properties=species:S:1:pos:R:3 pbc="T T T"
Ba 0.0000 0.0000 0.0000
Ba 4.1605 4.1605 0.0000
Ti 0.9326 3.2280 0.0000
Ti 3.2280 7.3885 0.0000
Ti 5.0931 0.9326 0.0000
Ti 7.3885 5.0931 0.0000
Au 1.4578 5.6184 1.5735
Au 2.7027 1.4578 1.5735
Au 5.6184 6.8632 1.5735
Au 6.8632 2.7027 1.5735
```

DOS at the Fermi energy = 5.7 states/eV/f.u.
size of the total moment = 2.81 μB per formula unit
energy = -24.87 eV/f.u.
energy above the most stable polymorph in this dataset = 67 meV/atom